Entry 1:
Computed, not measured: an optimized crystal structure of BaCdBi2 at the GGA-PBE level of DFT.

Output
- Total magnetization: 0.0 μB/f.u.
- Space group: P4/nmm (129)
- Crystal system: tetragonal
- Total DFT energy (no corrections): -3.17 eV per atom
- E_form: -11.924 kcal/mol of atoms

Lattice parameters (Å, degrees): 4.7690 4.7690 12.2800 90.00 90.00 90.00
With the nearest neighbours (Å) after each atom.
Fractional coordinates of all 8 atoms:
Ba1 0.2500 0.2500 0.2330  8 Bi 3.63-3.72, 4 Cd 4.05
Ba2 0.7500 0.7500 0.7670  8 Bi 3.63-3.72, 4 Cd 4.05
Cd1 0.2500 0.7500 0.5000  4 Bi 3.08, 4 Cd 3.37
Cd2 0.7500 0.2500 0.5000  4 Bi 3.08, 4 Cd 3.37
Bi1 0.2500 0.2500 0.6582  4 Cd 3.08
Bi2 0.2500 0.7500 0.0000  4 Bi 3.37, 4 Ba 3.72
Bi3 0.7500 0.2500 0.0000  4 Bi 3.37, 4 Ba 3.72
Bi4 0.7500 0.7500 0.3418  4 Cd 3.08


Entry 2:
Computed, not measured: an optimized crystal structure of Pr3Ag5S12 at the GGA-PBE level of DFT.

Output
- Total magnetization: 0.0 μB/f.u.
- Space group: Ia-3d (230)
- Crystal system: cubic
- ΔE_f (raw): -520 meV per atom
- Total DFT energy (no corrections): -4.43 eV per atom

Lattice parameters (Å, degrees): 13.5083 13.5083 13.5083 109.47 109.47 109.47
With the nearest neighbours (Å) after each atom.
Fractional coordinates of all 80 atoms:
Pr1 0.1250 0.2500 0.3750  8 S 2.92-3.01
Pr2 0.1250 0.3750 0.7500  8 S 2.92-3.01
Pr3 0.2500 0.3750 0.1250  8 S 2.92-3.01
Pr4 0.2500 0.8750 0.6250  8 S 2.92-3.01
Pr5 0.3750 0.1250 0.2500  8 S 2.92-3.01
Pr6 0.3750 0.7500 0.1250  8 S 2.92-3.01
Pr7 0.6250 0.2500 0.8750  8 S 2.92-3.01
Pr8 0.6250 0.8750 0.7500  8 S 2.92-3.01
Pr9 0.7500 0.1250 0.3750  8 S 2.92-3.01
Pr10 0.7500 0.6250 0.8750  8 S 2.92-3.01
Pr11 0.8750 0.6250 0.2500  8 S 2.92-3.01
Pr12 0.8750 0.7500 0.6250  8 S 2.92-3.01
Ag1 0.0000 0.0000 0.0000  6 S 2.52
Ag2 0.0000 0.0000 0.5000  6 S 2.52
Ag3 0.0000 0.5000 0.0000  6 S 2.52
Ag4 0.0000 0.5000 0.5000  6 S 2.52
Ag5 0.1250 0.7500 0.8750  4 S 2.46
Ag6 0.1250 0.8750 0.2500  4 S 2.46
Ag7 0.2500 0.1250 0.8750  4 S 2.46
Ag8 0.2500 0.6250 0.3750  4 S 2.46
Ag9 0.3750 0.2500 0.6250  4 S 2.46
Ag10 0.3750 0.6250 0.7500  4 S 2.46
Ag11 0.5000 0.0000 0.0000  6 S 2.52
Ag12 0.5000 0.0000 0.5000  6 S 2.52
Ag13 0.5000 0.5000 0.0000  6 S 2.52
Ag14 0.5000 0.5000 0.5000  6 S 2.52
Ag15 0.6250 0.3750 0.2500  4 S 2.46
Ag16 0.6250 0.7500 0.3750  4 S 2.46
Ag17 0.7500 0.3750 0.6250  4 S 2.46
Ag18 0.7500 0.8750 0.1250  4 S 2.46
Ag19 0.8750 0.1250 0.7500  4 S 2.46
Ag20 0.8750 0.2500 0.1250  4 S 2.46
S1 0.0395 0.2083 0.1281  2 Ag 2.46-2.52
S2 0.0395 0.3312 0.9114  2 Ag 2.46-2.52
S3 0.0802 0.7083 0.6688  2 Ag 2.46-2.52
S4 0.0802 0.8719 0.4114  2 Ag 2.46-2.52
S5 0.0886 0.6281 0.4198  2 Ag 2.46-2.52
S6 0.0886 0.9605 0.6688  2 Ag 2.46-2.52
S7 0.1281 0.0395 0.2083  2 Ag 2.46-2.52
S8 0.1281 0.5886 0.9198  2 Ag 2.46-2.52
S9 0.1688 0.2083 0.5802  2 Ag 2.46-2.52
S10 0.1688 0.4605 0.5886  2 Ag 2.46-2.52
S11 0.2083 0.1281 0.0395  2 Ag 2.46-2.52
S12 0.2083 0.5802 0.1688  2 Ag 2.46-2.52
S13 0.2917 0.3312 0.9198  2 Ag 2.46-2.52
S14 0.2917 0.4605 0.3719  2 Ag 2.46-2.52
S15 0.3312 0.9114 0.0395  2 Ag 2.46-2.52
S16 0.3312 0.9198 0.2917  2 Ag 2.46-2.52
S17 0.3719 0.2917 0.4605  2 Ag 2.46-2.52
S18 0.3719 0.5802 0.9114  2 Ag 2.46-2.52
S19 0.4114 0.0802 0.8719  2 Ag 2.46-2.52
S20 0.4114 0.8312 0.5395  2 Ag 2.46-2.52
S21 0.4198 0.0886 0.6281  2 Ag 2.46-2.52
S22 0.4198 0.8312 0.7917  2 Ag 2.46-2.52
S23 0.4605 0.3719 0.2917  2 Ag 2.46-2.52
S24 0.4605 0.5886 0.1688  2 Ag 2.46-2.52
S25 0.5395 0.4114 0.8312  2 Ag 2.46-2.52
S26 0.5395 0.6281 0.7083  2 Ag 2.46-2.52
S27 0.5802 0.1688 0.2083  2 Ag 2.46-2.52
S28 0.5802 0.9114 0.3719  2 Ag 2.46-2.52
S29 0.5886 0.1688 0.4605  2 Ag 2.46-2.52
S30 0.5886 0.9198 0.1281  2 Ag 2.46-2.52
S31 0.6281 0.4198 0.0886  2 Ag 2.46-2.52
S32 0.6281 0.7083 0.5395  2 Ag 2.46-2.52
S33 0.6688 0.0802 0.7083  2 Ag 2.46-2.52
S34 0.6688 0.0886 0.9605  2 Ag 2.46-2.52
S35 0.7083 0.5395 0.6281  2 Ag 2.46-2.52
S36 0.7083 0.6688 0.0802  2 Ag 2.46-2.52
S37 0.7917 0.4198 0.8312  2 Ag 2.46-2.52
S38 0.7917 0.8719 0.9605  2 Ag 2.46-2.52
S39 0.8312 0.5395 0.4114  2 Ag 2.46-2.52
S40 0.8312 0.7917 0.4198  2 Ag 2.46-2.52
S41 0.8719 0.4114 0.0802  2 Ag 2.46-2.52
S42 0.8719 0.9605 0.7917  2 Ag 2.46-2.52
S43 0.9114 0.0395 0.3312  2 Ag 2.46-2.52
S44 0.9114 0.3719 0.5802  2 Ag 2.46-2.52
S45 0.9198 0.1281 0.5886  2 Ag 2.46-2.52
S46 0.9198 0.2917 0.3312  2 Ag 2.46-2.52
S47 0.9605 0.6688 0.0886  2 Ag 2.46-2.52
S48 0.9605 0.7917 0.8719  2 Ag 2.46-2.52